Entry from Alexandria: Y3SbAs after structural relaxation (PBE-GGA).

As for the total energy: -6.245 eV per atom. The calculated volume is 153 Å³/cell. For the formation energy (no corrections), the calculation gives -59.0 kJ/mol of atoms. The calculation puts the density at 5.0 g cm⁻³.

Cell lengths 5.345, 5.345, 5.345 Å; angles 90.00, 90.00, 90.00 degrees
Space group Pm-3m (No. 221)
Asymmetric unit:
Y: 0.000 0.000 0.500 x3
Sb: 0.500 0.500 0.500 x1
As: 0.000 0.000 0.000 x1